VASP calculation (PBE) on an optimized crystal structure of ErZnNi.

Cell and atoms, written as extended XYZ:
```
3
Lattice="0.000 3.079 3.079 3.079 0.000 3.079 3.079 3.079 0.000" Properties=species:S:1:pos:R:3 pbc="T T T"
Er 0.000 0.000 0.000
Zn 3.079 3.079 3.079
Ni 1.539 1.539 1.539
```

Density: 8.29 Mg/m³
Energy relative to the elements: -85 kJ/mol of formula units
V: 19.451 Å³ per atom
Spin magnetization: 0.002 μB/cell